The following is a DFT calculation (PBE) of an optimized crystal structure of CsTbPO.

Cell: 3.5258 8.2271 7.9668 Å, 90.00 90.00 90.00°
With the nearest neighbours (Å) after each atom.
Fractional coordinates of all 8 atoms:
Tb1 0.0000 0.3869 0.9619  2 O 2.12
O1 0.5000 0.2650 0.8863  2 Tb 2.12
P1 0.0000 0.3077 0.3077  2 Tb 2.80-2.83
O2 0.5000 0.7350 0.3863  2 Tb 2.12
Cs1 0.5000 0.9470 0.0980  2 O 2.88-3.11
P2 0.0000 0.6923 0.8077  2 Tb 2.80-2.83
Tb2 0.0000 0.6131 0.4619  2 O 2.12
Cs2 0.5000 0.0530 0.5980  2 O 2.88-3.11

Computed properties:
The value obtained for the density is 4.87 g/cm³. As for the space group: No. 26. Its final energy is -5.4073 eV per atom.